## Mg3Pa2CoN6 (PBE)

Data for an optimized crystal structure of Mg3Pa2CoN6.

The structure in POSCAR format:
```
Mg3Pa2CoN6
1.0
6.918 -1.716 0.000
6.918 1.716 0.000
-1.601 0.000 6.235
Mg Pa Co N
3 2 1 6
Cartesian
0.000 0.000 0.000
3.624 0.000 4.196
8.612 0.000 2.038
4.463 0.000 1.236
7.773 0.000 4.999
-0.800 0.000 3.117
1.297 0.000 3.548
2.252 0.000 0.417
5.667 0.000 4.616
6.570 0.000 1.619
9.984 0.000 5.817
10.939 0.000 2.686
```

E_tot: -7.6731 eV per atom

=====

## La2PmF11 (PBE)

Data for an optimized crystal structure of La2PmF11.

The structure in POSCAR format:
```
La2PmF11
1.0
-4.442 5.342 5.847
4.442 -5.342 5.847
4.442 5.342 -5.847
La Pm F
4 2 22
Cartesian
1.492 2.049 0.000
5.934 3.293 0.000
-1.492 2.049 5.847
2.950 3.293 5.847
4.442 0.000 2.923
0.000 5.342 2.923
0.000 0.000 0.000
5.326 1.798 -1.692
6.204 -0.787 1.570
3.516 -3.375 5.847
5.326 -1.798 4.155
2.680 0.787 1.570
2.680 -0.787 4.277
5.326 1.798 1.692
3.516 3.375 0.000
1.762 6.129 -1.570
0.884 3.544 1.692
0.000 0.000 5.847
3.558 1.798 4.155
2.680 -0.787 7.417
0.926 1.967 5.847
-0.884 3.544 4.155
1.762 6.129 1.570
1.762 4.555 4.277
-0.884 7.140 1.692
0.926 8.717 0.000
-1.762 6.129 4.277
-0.884 3.544 7.538
```

E_tot: -5.9559 eV per atom

=====

## NdZr2N (PBE)

Data for an optimized crystal structure of NdZr2N.

The structure in POSCAR format:
```
NdZr2N
1.0
1.656 0.956 8.925
-1.656 0.956 8.925
0.000 -1.912 8.925
Nd Zr N
1 2 1
Cartesian
0.000 0.000 0.000
0.000 0.000 3.235
0.000 0.000 23.539
0.000 0.000 13.387
```

E_tot: -8.1947 eV per atom